No. 1
Compound: KAu2Br
Source: the Alexandria database
Functional: PBEsol
Structure: relaxed

a b c (Å): 3.392 4.583 11.959
angles (deg): 90.00 90.00 90.00
Space group Immm (No. 71)
One atom of each set of equivalent atoms:
K1 0.000 0.000 0.000 [2 per cell]
Au1 0.000 0.500 0.239 [4 per cell]
Br1 0.000 0.000 0.500 [2 per cell]

Uncorrected energy ... -23.53 eV for the cell shown
Formation energy from raw total energies ... -0.23 eV per atom
Crystal system ... orthorhombic

No. 2
Compound: ZnF2
Source: the Alexandria database
Functional: PBEsol
Structure: relaxed

a b c (Å): 4.717 4.717 3.135
angles (deg): 90.00 90.00 90.00
Space group P4_2/mnm (No. 136)
One atom of each set of equivalent atoms:
Zn1 0.000 0.000 0.000 [2 per cell]
F1 0.196 0.196 0.500 [4 per cell]

Uncorrected energy ... -24.72 eV for the cell shown
Formation energy from raw total energies ... -2.31 eV per atom
Crystal system ... tetragonal

Copy entry 2 word for word.
Compound: ZnF2
Source: the Alexandria database
Functional: PBEsol
Structure: relaxed

a b c (Å): 4.717 4.717 3.135
angles (deg): 90.00 90.00 90.00
Space group P4_2/mnm (No. 136)
One atom of each set of equivalent atoms:
Zn1 0.000 0.000 0.000 [2 per cell]
F1 0.196 0.196 0.500 [4 per cell]

Uncorrected energy ... -24.72 eV for the cell shown
Formation energy from raw total energies ... -2.31 eV per atom
Crystal system ... tetragonal

Q: The lowest formation energy from raw total energies belongs to which entry?
A: ZnF2